Compound: Al4TlS7
Source: Alexandria via LeMat-Bulk
Functional: PBE
Structure: optimized geometry

Calculated values
* E_form (uncorrected): -885 meV per atom
* calculated total energy: -0.1741 Ha/atom

abc: 5.9905 6.3681 15.2153
angles: 90.00 90.00 90.00
Site moments in Bohr magnetons follow the coordinates.
Sites, in units of the cell vectors:
Al: 0.5942 0.6640 0.8782  0.00
Al: 0.0754 0.8220 0.2514  0.00
Al: 0.5754 0.1780 0.2486  0.00
Al: 0.0942 0.3360 0.6218  0.00
Al: 0.0942 0.3360 0.3782  0.00
Al: 0.5942 0.6640 0.1218  0.00
Al: 0.0754 0.8220 0.7486  0.00
Al: 0.5754 0.1780 0.7514  0.00
Tl: 0.5213 0.8566 0.5000  0.01
Tl: 0.0213 0.1434 0.0000  0.01
S: 0.9679 0.7007 0.1202  0.10
S: 0.4679 0.2993 0.3798  0.10
S: 0.4819 0.3285 0.8788  0.09
S: 0.9819 0.6715 0.6212  0.09
S: 0.9819 0.6715 0.3788  0.09
S: 0.4819 0.3285 0.1212  0.09
S: 0.4626 0.8320 0.7537  0.01
S: 0.9626 0.1680 0.7463  0.01
S: 0.9626 0.1680 0.2537  0.01
S: 0.4626 0.8320 0.2463  0.01
S: 0.4697 0.8326 0.0000  0.20
S: 0.9697 0.1674 0.5000  0.20
S: 0.9679 0.7007 0.8798  0.10
S: 0.4679 0.2993 0.6202  0.10


Compound: Tl10Hg3Te3
Source: Alexandria via LeMat-Bulk
Functional: PBE
Structure: optimized geometry

Calculated values
* E_form (uncorrected): -127 meV per atom
* calculated total energy: -0.0827 Ha/atom

abc: 6.7627 9.6356 9.6356
angles: 120.00 90.00 90.00
Sites, in units of the cell vectors:
Tl: 0.2474 0.6667 0.3333
Tl: 0.2474 0.3333 0.6667
Tl: 0.7526 0.3333 0.6667
Tl: 0.7526 0.6667 0.3333
Tl: 0.5000 0.0000 0.7546
Tl: 0.5000 0.7546 0.0000
Tl: 0.5000 0.2454 0.2454
Tl: 0.0000 0.0000 0.2952
Tl: 0.0000 0.2952 0.0000
Tl: 0.0000 0.7048 0.7048
Hg: 0.0000 0.0000 0.6432
Hg: 0.0000 0.6432 0.0000
Hg: 0.0000 0.3568 0.3568
Te: 0.5000 0.0000 0.4138
Te: 0.5000 0.4138 0.0000
Te: 0.5000 0.5862 0.5862


Compound: Be2AlGa2
Source: Alexandria via LeMat-Bulk
Functional: PBE
Structure: optimized geometry

Calculated values
* calculated total energy: -0.1173 Ha/atom
* E_form: 0.26 eV/atom

abc: 3.6589 3.6589 5.9394
angles: 72.06 72.06 90.00
Sites, in units of the cell vectors:
Be: 0.7500 0.2500 0.5000
Be: 0.2500 0.7500 0.5000
Al: 0.0000 0.0000 0.0000
Ga: 0.3859 0.3859 0.2283
Ga: 0.6141 0.6141 0.7717


Compound: Pu3TlHg4
Source: Alexandria via LeMat-Bulk
Functional: PBE
Structure: optimized geometry

Calculated values
* calculated total energy: -0.2159 Ha/atom
* E_form: -0.06 eV/atom

abc: 5.3056 5.3056 9.3085
angles: 73.44 73.44 60.00
Site moments in Bohr magnetons follow the coordinates.
Sites, in units of the cell vectors:
Tl: 0.0000 0.0000 0.0000  0.00
Hg: 0.8702 0.8702 0.3893  0.00
Hg: 0.3782 0.3782 0.8653  0.02
Hg: 0.1298 0.1298 0.6107  0.00
Hg: 0.6218 0.6218 0.1347  0.02
Pu: 0.2539 0.2539 0.2383  5.47
Pu: 0.7461 0.7461 0.7617  5.47
Pu: 0.5000 0.5000 0.5000  -5.39


Compound: TiInCu
Source: Alexandria via LeMat-Bulk
Functional: PBE
Structure: optimized geometry

Calculated values
* calculated total energy: -0.1811 Ha/atom
* E_form: -0.02 eV/atom

abc: 4.1457 5.3256 5.8018
angles: 80.31 110.93 66.94
Site moments in Bohr magnetons follow the coordinates.
Sites, in units of the cell vectors:
Ti: 0.5671 0.6106 0.4781  0.22
Ti: 0.7242 0.0977 0.2780  0.22
Cu: 0.0993 0.0547 0.9853  0.02
Cu: 0.1929 0.6527 0.7709  0.02
In: 0.3913 0.1343 0.6488  0.00
In: 0.9000 0.5741 0.1072  0.00


Compound: Ac2NdTmTe5
Source: Alexandria via LeMat-Bulk
Functional: PBE
Structure: optimized geometry

Calculated values
* E_form (uncorrected): -1045 meV per atom
* calculated total energy: -0.1738 Ha/atom

abc: 5.4530 5.4530 11.8126
angles: 90.00 90.00 90.00
Sites, in units of the cell vectors:
Ac: 0.5000 0.5000 0.2981
Ac: 0.5000 0.5000 0.7019
Nd: 0.0000 0.0000 0.0000
Tm: 0.0000 0.0000 0.5000
Te: 0.0000 0.5000 0.5000
Te: 0.5000 0.0000 0.5000
Te: 0.0000 0.0000 0.7500
Te: 0.0000 0.0000 0.2500
Te: 0.5000 0.5000 0.0000